1.
A relaxed structure of Mg2ZnAg2, computed with PBE.

Output
Energy above the lowest structure with this stoichiometry ... 0.011 eV per atom
SG ... No. 12
Formation enthalpy at 0 K ... -120 meV/atom
N(E_F) ... 3.35 states/eV/cell

abc: 4.283 5.228 12.272
angles: 50.73 79.95 65.82
Element x y z (fractional)
Mg: 0.393 0.126 0.587
Mg: 0.107 0.374 0.913
Mg: 0.607 0.874 0.413
Mg: 0.893 0.626 0.087
Zn: 0.250 0.750 0.250
Zn: 0.750 0.250 0.750
Ag: 0.390 0.846 0.875
Ag: 0.889 0.346 0.375
Ag: 0.610 0.154 0.125
Ag: 0.111 0.654 0.625

***

2.
A relaxed structure of MgZn2Ag, computed with PBE.

Output
SG ... No. 10
Formation enthalpy at 0 K ... -49 meV/atom
N(E_F) ... 0.91 states/eV/cell

abc: 4.442 2.863 5.556
angles: 74.59 90.00 90.00
Element x y z (fractional)
Zn: 0.000 0.073 0.003
Zn: 0.000 0.427 0.497
Mg: 0.500 0.750 0.750
Ag: 0.500 0.250 0.250

***

3.
A relaxed structure of Mg2Zn2Ag7, computed with PBE.

Output
Energy above the lowest structure with this stoichiometry ... 0.000 eV per atom
SG ... No. 44
Formation enthalpy at 0 K ... -66 meV/atom
N(E_F) ... 2.87 states/eV/cell

abc: 4.498 6.663 7.694
angles: 115.66 106.99 90.00
Element x y z (fractional)
Mg: 0.297 0.916 0.594
Mg: 0.703 0.321 0.406
Zn: 0.000 0.630 0.000
Zn: 0.500 0.349 0.000
Ag: 0.140 0.046 0.280
Ag: 0.128 0.458 0.257
Ag: 0.500 0.929 0.000
Ag: 0.339 0.457 0.678
Ag: 0.661 0.780 0.322
Ag: 0.860 0.766 0.720
Ag: 0.872 0.201 0.743

***

4.
A relaxed structure of MgZnAg2, computed with PBE.

Output
SG ... No. 122
Formation enthalpy at 0 K ... 106 meV/atom
N(E_F) ... 2.22 states/eV/cell

abc: 7.421 7.421 5.956
angles: 51.47 51.47 90.00
Element x y z (fractional)
Zn: 0.000 0.000 0.000
Zn: 0.750 0.250 0.500
Mg: 0.500 0.500 0.000
Mg: 0.250 0.750 0.500
Ag: 0.645 0.125 0.250
Ag: 0.105 0.625 0.250
Ag: 0.375 0.355 0.750
Ag: 0.875 0.895 0.750

***

5.
A relaxed structure of MgZn6Ag2, computed with PBE.

Output
Energy above the lowest structure with this stoichiometry ... 0.309 eV per atom
SG ... No. 225
Formation enthalpy at 0 K ... 284 meV/atom
N(E_F) ... 3.08 states/eV/cell

abc: 6.189 6.189 6.189
angles: 60.00 60.00 60.00
Element x y z (fractional)
Mg: 0.000 0.000 0.000
Zn: 0.711 0.711 0.289
Zn: 0.289 0.711 0.711
Zn: 0.289 0.711 0.289
Zn: 0.289 0.289 0.711
Zn: 0.711 0.289 0.289
Zn: 0.711 0.289 0.711
Ag: 0.250 0.250 0.250
Ag: 0.750 0.750 0.750

***

6.
A relaxed structure of Mg2ZnAg, computed with PBE.

Output
SG ... No. 44
Formation enthalpy at 0 K ... -129 meV/atom
N(E_F) ... 0.91 states/eV/cell

abc: 5.572 5.572 5.572
angles: 145.63 130.36 61.77
Element x y z (fractional)
Zn: 0.512 0.512 0.000
Mg: 0.987 0.987 0.000
Mg: 0.265 0.765 0.500
Ag: 0.736 0.236 0.500